# 1
Material: CoGe3
Method: DFT, PBE-GGA
State: optimized geometry

a b c (Å): 6.3246 6.3246 6.3246
angles (deg): 90.00 90.00 90.00
Element x y z (fractional)
Co (0.0000, 0.0000, 0.0000)
Co (0.0000, 0.5000, 0.5000)
Co (0.5000, 0.0000, 0.5000)
Co (0.5000, 0.5000, 0.0000)
Ge (0.0000, 0.0000, 0.5000)
Ge (0.0000, 0.5000, 0.0000)
Ge (0.2500, 0.2500, 0.2500)
Ge (0.2500, 0.2500, 0.7500)
Ge (0.2500, 0.7500, 0.2500)
Ge (0.2500, 0.7500, 0.7500)
Ge (0.5000, 0.0000, 0.0000)
Ge (0.5000, 0.5000, 0.5000)
Ge (0.7500, 0.2500, 0.2500)
Ge (0.7500, 0.2500, 0.7500)
Ge (0.7500, 0.7500, 0.2500)
Ge (0.7500, 0.7500, 0.7500)

## Properties
E = -4.868 eV per atom


# 2
Material: Nb2CuTc
Method: DFT, PBE-GGA
State: optimized geometry

a b c (Å): 6.3082 6.3082 6.3082
angles (deg): 90.00 90.00 90.00
Element x y z (fractional)
Nb (0.0000, 0.0000, 0.0000)
Nb (0.0000, 0.5000, 0.5000)
Nb (0.2500, 0.2500, 0.2500)
Nb (0.2500, 0.7500, 0.7500)
Nb (0.5000, 0.0000, 0.5000)
Nb (0.5000, 0.5000, 0.0000)
Nb (0.7500, 0.2500, 0.7500)
Nb (0.7500, 0.7500, 0.2500)
Cu (0.2500, 0.2500, 0.7500)
Cu (0.2500, 0.7500, 0.2500)
Cu (0.7500, 0.2500, 0.2500)
Cu (0.7500, 0.7500, 0.7500)
Tc (0.0000, 0.0000, 0.5000)
Tc (0.0000, 0.5000, 0.0000)
Tc (0.5000, 0.0000, 0.0000)
Tc (0.5000, 0.5000, 0.5000)

## Properties
energy of formation from the pure elements = 142 meV per atom
E = -8.424 eV per atom


- Which of these has the lowest E?
  Nb2CuTc


- Among the records above, which one has the highest E?
  CoGe3


- The lowest E belongs to which entry?
  Nb2CuTc


- Look up the E of the first one.
  -4.868 eV per atom